PBE CaP2Pt8, optimized geometry; energy relative to the elements = -0.19 eV/atom; DOS(E_F) = 0.342 states/eV per atom
1.0
5.097 0.000 -1.842
-0.665 5.054 -1.842
0.226 0.257 8.600
Ca P Pt
1 2 8
direct
0.500 0.500 0.000 Ca
0.250 0.750 0.500 P
0.750 0.250 0.500 P
0.905 0.905 0.306 Pt
0.095 0.095 0.694 Pt
0.599 0.599 0.694 Pt
0.599 0.095 0.694 Pt
0.401 0.401 0.306 Pt
0.401 0.905 0.306 Pt
0.905 0.401 0.306 Pt
0.095 0.599 0.694 Pt